Record 1
The following is a DFT calculation (GGA-PBE) of an optimized crystal structure of NaLiRh3.

The calculation puts the spin magnetization at 2.8 μB per cell. The value obtained for the electronic total energy is -17.6 eV/cell. The calculation puts the energy above the lowest structure with this stoichiometry at 808 meV per atom. For the calculated formation energy, the calculation gives 1.54 eV/atom.

Cell: 4.6270 4.6270 4.6270 Å, 90.00 90.00 90.00°
Closest atoms and distances in Å follow each position.
Atoms (fractional coordinates):
Na 0.0000 0.0000 0.0000  6 Rh 2.31
Li 0.5000 0.5000 0.5000  12 Rh 3.27
Rh 0.0000 0.0000 0.5000  2 Na 2.31
Rh 0.0000 0.5000 0.0000  2 Na 2.31
Rh 0.5000 0.0000 0.0000  2 Na 2.31

Record 2
The following is a DFT calculation (GGA-PBE) of an optimized crystal structure of TaNbPbS2.

The calculation puts the spin magnetization at 0.0 μB per cell. The uncorrected formation energy comes out at 0.415 eV/atom. The value obtained for the electronic total energy is -31.8 eV/cell.

Cell: 4.7114 4.7114 5.3682 Å, 90.00 90.00 90.00°
Closest atoms and distances in Å follow each position.
Atoms (fractional coordinates):
Ta 0.0000 0.0000 0.0000  2 Nb 2.68
Nb 0.0000 0.0000 0.5000  4 S 2.36
Pb 0.5000 0.5000 0.0000  4 Ta 3.33, 8 S 3.57
S 0.0000 0.5000 0.5000  2 Nb 2.36
S 0.5000 0.0000 0.5000  2 Nb 2.36

Record 3
The following is a DFT calculation (GGA-PBE) of an optimized crystal structure of SiTeBr2.

The calculation puts the spin magnetization at 0.0 μB per cell. The uncorrected formation energy comes out at 0.560 eV/atom. The value obtained for the electronic total energy is -9.7 eV/cell. The calculation puts the energy above the lowest structure with this stoichiometry at 697 meV per atom.

Cell: 5.5727 5.5727 3.3860 Å, 90.00 90.00 106.95°
Closest atoms and distances in Å follow each position.
Atoms (fractional coordinates):
Si 0.0000 0.0000 0.0000  8 Br 3.26, 2 Te 3.32, 2 Si 3.39
Te 0.5000 0.5000 0.0000  8 Br 3.26, 2 Si 3.32, 2 Te 3.39
Br 0.0000 0.5000 0.5000  4 Te 3.26, 4 Si 3.26, 4 Br 3.32-3.39
Br 0.5000 0.0000 0.5000  4 Te 3.26, 4 Si 3.26, 4 Br 3.32-3.39

Record 4
The following is a DFT calculation (GGA-PBE) of an optimized crystal structure of Al3Ag3Sn.

The calculation puts the spin magnetization at 0.0 μB per cell. The value obtained for the electronic total energy is -40.2 eV/cell. For the calculated formation energy, the calculation gives 0.53 eV/atom.

Cell: 7.1218 7.1218 7.1218 Å, 90.00 90.00 90.00°
Closest atoms and distances in Å follow each position.
Atoms (fractional coordinates):
Al 0.0000 0.2500 0.5000  4 Ag 2.52
Al 0.0000 0.7500 0.5000  4 Ag 2.52
Al 0.2500 0.5000 0.0000  4 Ag 2.52
Al 0.5000 0.0000 0.2500  4 Ag 2.52
Al 0.5000 0.0000 0.7500  4 Ag 2.52
Al 0.7500 0.5000 0.0000  4 Ag 2.52
Ag 0.0000 0.5000 0.2500  4 Al 2.52
Ag 0.0000 0.5000 0.7500  4 Al 2.52
Ag 0.2500 0.0000 0.5000  4 Al 2.52
Ag 0.5000 0.2500 0.0000  4 Al 2.52
Ag 0.5000 0.7500 0.0000  4 Al 2.52
Ag 0.7500 0.0000 0.5000  4 Al 2.52
Sn 0.0000 0.0000 0.0000  12 Al 3.98, 12 Ag 3.98
Sn 0.5000 0.5000 0.5000  12 Al 3.98, 12 Ag 3.98